Entry 1:
Entry from Alexandria: a relaxed Ca2MgIn6 crystal (PBE).

The space group is P-3m1 (No. 164) and the conventional cell measures 6.5669, 6.5669 and 6.5058 Å, with angles of 90.00, 90.00 and 120.00 degrees. The asymmetric unit holds Ca at (0.3333, 0.6667, 0.1478), Mg at (0.0000, 0.0000, 0.0000) and In at (0.1779, 0.3557, 0.6750).

For the final energy, the calculation gives -0.0999 hartree per atom. The calculation puts the energy relative to the lowest polymorph listed for this composition at 0.000 kcal/mol of atoms. The value obtained for the density of states at the Fermi level is 3.82 states/eV per cell. The energy relative to the elements comes out at -0.270 eV per atom.



Entry 2:
Entry from Alexandria: a relaxed YAl5 crystal (PBE).

The space group is P4/mmm (No. 123) and the conventional cell measures 3.057, 3.057 and 12.054 Å, with angles of 90.00, 90.00 and 90.00 degrees. The asymmetric unit holds Y at (0.000, 0.000, 0.000), Al at (0.000, 0.000, 0.343), Al at (0.500, 0.500, 0.192) and Al at (0.500, 0.500, 0.500).

For the final energy, the calculation gives -0.1562 hartree per atom. The value obtained for the density of states at the Fermi level is 3.27 states/eV per cell. The energy relative to the elements comes out at -0.055 eV per atom.



Entry 3:
Entry from Alexandria: a relaxed GeTeRu crystal (PBE).

The space group is Amm2 (No. 38) and the conventional cell measures 6.609, 3.114 and 11.953 Å, with angles of 90.00, 90.00 and 90.00 degrees. The asymmetric unit holds Ge at (0.000, 0.000, 0.000), Ge at (0.500, 0.000, 0.203), Te at (0.000, 0.000, 0.753), Te at (0.500, 0.000, 0.938) and Ru at (0.281, 0.000, 0.577).

For the final energy, the calculation gives -0.2104 hartree per atom. As for the uncorrected formation energy: -0.05 eV per atom. The value obtained for the density of states at the Fermi level is 5.96 states/eV per cell.



Entry 4:
Entry from Alexandria: a relaxed RbYMg2Ti crystal (PBE).

The space group is P4/mmm (No. 123) and the conventional cell measures 5.403, 5.403 and 5.526 Å, with angles of 90.00, 90.00 and 90.00 degrees. The asymmetric unit holds Rb at (0.000, 0.000, 0.000), Y at (0.000, 0.000, 0.500), Mg at (0.000, 0.500, 0.000) and Ti at (0.500, 0.500, 0.500).

For the final energy, the calculation gives -0.0759 hartree per atom. The value obtained for the density of states at the Fermi level is 3.09 states/eV per cell. The energy relative to the elements comes out at 1.638 eV per atom.



Entry 5:
Entry from Alexandria: a relaxed NpInGe2 crystal (PBE).

The space group is P4/mmm (No. 123) and the conventional cell measures 4.553, 4.553 and 4.040 Å, with angles of 90.00, 90.00 and 90.00 degrees. The asymmetric unit holds Np at (0.000, 0.000, 0.000), In at (0.500, 0.500, 0.000) and Ge at (0.000, 0.500, 0.500).

For the final energy, the calculation gives -0.2343 hartree per atom. The calculation puts the energy relative to the lowest polymorph listed for this composition at 0.000 kcal/mol of atoms. The value obtained for the density of states at the Fermi level is 8.15 states/eV per cell. The energy relative to the elements comes out at -0.149 eV per atom.



Entry 6:
Entry from Alexandria: a relaxed Cr2CdTc crystal (PBE).

The space group is R3m (No. 160, hexagonal axes) and the conventional cell measures 2.8088, 2.8088 and 25.8876 Å, with angles of 90.00, 90.00 and 120.00 degrees. The asymmetric unit holds Cr at (0.0000, 0.0000, 0.0000), Cr at (0.0000, 0.0000, 0.2703), Cd at (0.0000, 0.0000, 0.5085) and Tc at (0.0000, 0.0000, 0.7451).

For the final energy, the calculation gives -0.2662 hartree per atom. The value obtained for the density of states at the Fermi level is 13.99 states/eV per cell. The energy relative to the elements comes out at 0.388 eV per atom.



Entry 7:
Entry from Alexandria: a relaxed ScGeAuO2 crystal (PBE).

The space group is P4/mmm (No. 123) and the conventional cell measures 3.914, 3.914 and 7.442 Å, with angles of 90.00, 90.00 and 90.00 degrees. The asymmetric unit holds Sc at (0.000, 0.000, 0.000), Ge at (0.000, 0.000, 0.500), Au at (0.500, 0.500, 0.500) and O at (0.000, 0.500, 0.000).

For the final energy, the calculation gives -0.2111 hartree per atom. As for the uncorrected formation energy: -0.92 eV per atom. The value obtained for the density of states at the Fermi level is 2.68 states/eV per cell.



Entry 8:
Entry from Alexandria: a relaxed PuCdBi crystal (PBE).

The space group is Pnma (No. 62) and the conventional cell measures 17.213, 4.506 and 4.584 Å, with angles of 90.00, 90.00 and 90.00 degrees. The asymmetric unit holds Pu at (0.160, 0.250, 0.128), Cd at (0.005, 0.750, 0.228) and Bi at (0.153, 0.750, 0.625).

For the final energy, the calculation gives -0.2394 hartree per atom. The value obtained for the density of states at the Fermi level is 54.24 states/eV per cell. The energy relative to the elements comes out at -0.138 eV per atom.



Entry 9:
Entry from Alexandria: a relaxed TbPr2Sm5Sc crystal (PBE).

The space group is Cmc2_1 (No. 36) and the conventional cell measures 5.424, 22.057 and 10.163 Å, with angles of 90.00, 90.00 and 90.00 degrees. The asymmetric unit holds Tb at (0.000, 0.102, 0.000), Pr at (0.000, 0.383, 0.245), Pr at (0.000, 0.384, 0.755), Sm at (0.000, 0.000, 0.250), Sm at (0.000, 0.127, 0.500), Sm at (0.000, 0.222, 0.188), Sm at (0.000, 0.223, 0.813), Sm at (0.000, 0.499, 0.000) and Sc at (0.000, 0.286, 0.500).

For the final energy, the calculation gives -0.1757 hartree per atom. The value obtained for the density of states at the Fermi level is 53.18 states/eV per cell. The energy relative to the elements comes out at 0.121 eV per atom.



Entry 10:
Entry from Alexandria: a relaxed La8Ge4Br3 crystal (PBE).

The space group is C2/m (No. 12) and the conventional cell measures 12.340, 12.422 and 8.710 Å, with angles of 90.00, 134.60 and 90.00 degrees. The asymmetric unit holds La at (0.000, 0.242, 0.000), La at (0.000, 0.256, 0.500), La at (0.245, 0.000, 0.488), La at (0.250, 0.000, 0.018), Ge at (0.000, 0.000, 0.000), Ge at (0.000, 0.500, 0.500), Ge at (0.250, 0.250, 0.500), Br at (0.000, 0.500, 0.000) and Br at (0.250, 0.250, 0.000).

For the final energy, the calculation gives -0.1929 hartree per atom. As for the uncorrected formation energy: -1.06 eV per atom. The value obtained for the density of states at the Fermi level is 20.92 states/eV per cell.



Entry 11:
Entry from Alexandria: a relaxed YSiTc2 crystal (PBE).

The space group is C2/m (No. 12) and the conventional cell measures 5.825, 8.863 and 2.906 Å, with angles of 90.00, 116.84 and 90.00 degrees. The asymmetric unit holds Y at (0.000, 0.000, 0.000), Si at (0.000, 0.500, 0.000) and Tc at (0.250, 0.250, 0.500).

For the final energy, the calculation gives -0.2949 hartree per atom. As for the uncorrected formation energy: 0.13 eV per atom. The value obtained for the density of states at the Fermi level is 6.96 states/eV per cell.



Entry 12:
Entry from Alexandria: a relaxed LiTa2O2 crystal (PBE).

The space group is P4/mbm (No. 127) and the conventional cell measures 6.712, 6.712 and 2.655 Å, with angles of 90.00, 90.00 and 90.00 degrees. The asymmetric unit holds Li at (0.000, 0.000, 0.000), Ta at (0.187, 0.313, 0.000) and O at (0.127, 0.627, 0.500).

For the final energy, the calculation gives -0.2738 hartree per atom. The calculation puts the energy relative to the lowest polymorph listed for this composition at 16.350 kcal/mol of atoms. As for the uncorrected formation energy: -0.34 eV per atom. The value obtained for the density of states at the Fermi level is 7.19 states/eV per cell.